# 1
The following is a meta-GGA SCAN calculation of a PBEsol-optimized structure of La2CoHgN, from Alexandria.

Summary:
crystal system	tetragonal
raw formation energy	-789	meV/atom

abc: 5.330 5.330 3.583
angles: 90.00 90.00 90.00
Sites, in units of the cell vectors:
La  0.000  0.500  0.000
La  0.500  0.000  0.000
Co  0.000  0.000  0.500
Hg  0.500  0.500  0.500
N  0.000  0.000  0.000

***

# 2
The following is a meta-GGA SCAN calculation of a PBEsol-optimized structure of ReMoW, from Alexandria.

Summary:
crystal system	tetragonal
energy relative to the elements	0.0176	eV per atom

abc: 3.127 3.127 9.366
angles: 90.00 90.00 90.00
Sites, in units of the cell vectors:
Re  0.000  0.000  0.000
Re  0.500  0.500  0.500
Mo  0.000  0.000  0.670
Mo  0.500  0.500  0.170
W  0.000  0.000  0.335
W  0.500  0.500  0.835

***

# 3
The following is a meta-GGA SCAN calculation of a PBEsol-optimized structure of MgInB3, from Alexandria.

Summary:
crystal system	cubic
energy relative to the elements	2.0930	eV per atom

abc: 4.455 4.455 4.455
angles: 90.00 90.00 90.00
Sites, in units of the cell vectors:
Mg  0.000  0.000  0.000
In  0.500  0.500  0.500
B  0.000  0.500  0.500
B  0.500  0.000  0.500
B  0.500  0.500  0.000

***

# 4
The following is a meta-GGA SCAN calculation of a PBEsol-optimized structure of NaPH3, from Alexandria.

Summary:
crystal system	cubic

abc: 3.629 3.629 3.629
angles: 90.00 90.00 90.00
Sites, in units of the cell vectors:
Na  0.000  0.000  0.000
P  0.500  0.500  0.500
H  0.000  0.000  0.500
H  0.000  0.500  0.000
H  0.500  0.000  0.000

***

# 5
The following is a meta-GGA SCAN calculation of a PBEsol-optimized structure of LaHfFe2As, from Alexandria.

Summary:
crystal system	tetragonal
energy relative to the elements	0.2158	eV per atom

abc: 4.492 4.492 4.996
angles: 90.00 90.00 90.00
Sites, in units of the cell vectors:
La  0.000  0.000  0.000
Hf  0.500  0.500  0.000
Fe  0.000  0.500  0.500
Fe  0.500  0.000  0.500
As  0.500  0.500  0.500

***

# 6
The following is a meta-GGA SCAN calculation of a PBEsol-optimized structure of Hg2PtW2, from Alexandria.

Summary:
crystal system	tetragonal
energy relative to the elements	1.0399	eV per atom

abc: 3.707 3.707 13.877
angles: 90.00 90.00 90.00
Sites, in units of the cell vectors:
Hg  0.000  0.500  0.250
Hg  0.000  0.500  0.750
Hg  0.500  0.000  0.250
Hg  0.500  0.000  0.750
Pt  0.000  0.000  0.000
Pt  0.500  0.500  0.500
W  0.000  0.000  0.417
W  0.000  0.000  0.583
W  0.500  0.500  0.083
W  0.500  0.500  0.917

***

# 7
The following is a meta-GGA SCAN calculation of a PBEsol-optimized structure of Sc2InPb, from Alexandria.

Summary:
crystal system	tetragonal
energy relative to the elements	-0.5546	eV per atom

abc: 4.559 4.559 8.617
angles: 90.00 90.00 90.00
Sites, in units of the cell vectors:
Sc  0.000  0.500  0.250
Sc  0.000  0.500  0.750
Sc  0.500  0.000  0.250
Sc  0.500  0.000  0.750
In  0.000  0.000  0.000
In  0.500  0.500  0.500
Pb  0.000  0.000  0.500
Pb  0.500  0.500  0.000

***

# 8
The following is a meta-GGA SCAN calculation of a PBEsol-optimized structure of Hf6Al16Pd7, from Alexandria.

Summary:
crystal system	cubic
energy relative to the elements	-0.8316	eV per atom

abc: 8.770 8.770 8.770
angles: 60.00 60.00 60.00
Sites, in units of the cell vectors:
Hf  0.182  0.182  0.818
Hf  0.182  0.818  0.182
Hf  0.182  0.818  0.818
Hf  0.818  0.182  0.182
Hf  0.818  0.182  0.818
Hf  0.818  0.818  0.182
Al  0.139  0.620  0.620
Al  0.165  0.165  0.165
Al  0.165  0.165  0.505
Al  0.165  0.505  0.165
Al  0.380  0.380  0.380
Al  0.380  0.380  0.861
Al  0.380  0.861  0.380
Al  0.495  0.835  0.835
Al  0.505  0.165  0.165
Al  0.620  0.139  0.620
Al  0.620  0.620  0.139
Al  0.620  0.620  0.620
Al  0.835  0.495  0.835
Al  0.835  0.835  0.495
Al  0.835  0.835  0.835
Al  0.861  0.380  0.380
Pd  0.000  0.000  0.500
Pd  0.000  0.500  0.000
Pd  0.000  0.500  0.500
Pd  0.500  0.000  0.000
Pd  0.500  0.000  0.500
Pd  0.500  0.500  0.000
Pd  0.500  0.500  0.500

***

# 9
The following is a meta-GGA SCAN calculation of a PBEsol-optimized structure of Hf2GePbS, from Alexandria.

Summary:
crystal system	tetragonal
raw formation energy	245	meV/atom

abc: 4.713 4.713 5.392
angles: 90.00 90.00 90.00
Sites, in units of the cell vectors:
Hf  0.000  0.500  0.000
Hf  0.500  0.000  0.000
Ge  0.000  0.000  0.500
Pb  0.500  0.500  0.500
S  0.500  0.500  0.000

***

| no. | total energy (eV per atom) |
| --- | --- |
| 1 | -36.98 |
| 2 | -58.54 |
| 3 | -10.04 |
| 4 | -3.79 |
| 5 | -32.23 |
| 6 | -68.14 |
| 7 | -34.97 |
| 8 | -25.99 |
| 9 | -45.72 |